# Ce2Co3TcGe4, optimized geometry, DFT PBE
# Calculated density, kg/m³: 8368
# Energy of formation, eV/atom: -0.53
# Energy, eV per atom: -6.73
data_Ce2Co3TcGe4
_space_group_name_H-M_alt 'P -4 m 2'
_space_group_IT_number 115
_space_group_name_Hall 'P -4 -2'
_cell_length_a 4.172
_cell_length_b 4.172
_cell_length_c 9.642
_cell_angle_alpha 90.00
_cell_angle_beta 90.00
_cell_angle_gamma 90.00
loop_
_atom_site_label
_atom_site_type_symbol
_atom_site_fract_x
_atom_site_fract_y
_atom_site_fract_z
Ce1 Ce 0.000 0.500 0.248
Co1 Co 0.000 0.500 0.878
Co2 Co 0.500 0.500 0.500
Tc1 Tc 0.000 0.000 0.500
Ge1 Ge 0.000 0.000 0.000
Ge2 Ge 0.000 0.500 0.634
Ge3 Ge 0.500 0.500 0.000

# ZrTc3Au, optimized geometry, DFT PBE
# Calculated density, kg/m³: 8656
# Energy of formation, eV/atom: 1.94
# Energy, eV per atom: -6.64
data_ZrTc3Au
_space_group_name_H-M_alt 'P m -3 m'
_space_group_IT_number 221
_space_group_name_Hall '-P 4 2 3'
_cell_length_a 4.816
_cell_length_b 4.816
_cell_length_c 4.816
_cell_angle_alpha 90.00
_cell_angle_beta 90.00
_cell_angle_gamma 90.00
loop_
_atom_site_label
_atom_site_type_symbol
_atom_site_fract_x
_atom_site_fract_y
_atom_site_fract_z
Zr1 Zr 0.000 0.000 0.000
Tc1 Tc 0.000 0.500 0.500
Au1 Au 0.500 0.500 0.500

# Ac3AlCo3, optimized geometry, DFT PBE
# Calculated density, kg/m³: 9073
# Energy of formation, eV/atom: -0.08
# Energy, eV per atom: -5.42
data_Ac3AlCo3
_space_group_name_H-M_alt 'C m c m'
_space_group_IT_number 63
_space_group_name_Hall '-C 2c 2'
_cell_length_a 4.097
_cell_length_b 11.079
_cell_length_c 14.268
_cell_angle_alpha 90.00
_cell_angle_beta 90.00
_cell_angle_gamma 90.00
loop_
_atom_site_label
_atom_site_type_symbol
_atom_site_fract_x
_atom_site_fract_y
_atom_site_fract_z
Ac1 Ac 0.000 0.005 0.250
Ac2 Ac 0.000 0.280 0.108
Al1 Al 0.000 0.000 0.000
Co1 Co 0.000 0.304 0.750
Co2 Co 0.000 0.432 0.584

# Pr2TmSb3Pd4, optimized geometry, DFT PBE
# Calculated density, kg/m³: 8824
# Energy relative to the elements, uncorrected, eV/atom: -0.92
# Energy, eV per atom: -5.64
data_Pr2TmSb3Pd4
_space_group_name_H-M_alt 'P -4 m 2'
_space_group_IT_number 115
_space_group_name_Hall 'P -4 -2'
_cell_length_a 4.492
_cell_length_b 4.492
_cell_length_c 11.582
_cell_angle_alpha 90.00
_cell_angle_beta 90.00
_cell_angle_gamma 90.00
loop_
_atom_site_label
_atom_site_type_symbol
_atom_site_fract_x
_atom_site_fract_y
_atom_site_fract_z
Pr1 Pr 0.000 0.500 0.215
Tm1 Tm 0.000 0.000 0.500
Sb1 Sb 0.000 0.500 0.868
Sb2 Sb 0.500 0.500 0.500
Pd1 Pd 0.000 0.000 0.000
Pd2 Pd 0.000 0.500 0.642
Pd3 Pd 0.500 0.500 0.000

# Rb2YNbCl6, optimized geometry, DFT PBE
# Calculated density, kg/m³: 3272
# Energy relative to the elements, uncorrected, eV/atom: -1.57
# Energy, eV per atom: -4.52
data_Rb2YNbCl6
_space_group_name_H-M_alt 'F m -3 m'
_space_group_IT_number 225
_space_group_name_Hall '-F 4 2 3'
_cell_length_a 10.471
_cell_length_b 10.471
_cell_length_c 10.471
_cell_angle_alpha 90.00
_cell_angle_beta 90.00
_cell_angle_gamma 90.00
loop_
_atom_site_label
_atom_site_type_symbol
_atom_site_fract_x
_atom_site_fract_y
_atom_site_fract_z
Rb1 Rb 0.250 0.250 0.250
Y1 Y 0.000 0.000 0.000
Nb1 Nb 0.000 0.000 0.500
Cl1 Cl 0.000 0.000 0.254

# NaCaCu4, optimized geometry, DFT PBE
# Calculated density, kg/m³: 5251
# Energy of formation, eV/atom: -0.01
# Energy, eV per atom: -3.29
data_NaCaCu4
_space_group_name_H-M_alt 'F -4 3 m'
_space_group_IT_number 216
_space_group_name_Hall 'F -4 2 3'
_cell_length_a 7.376
_cell_length_b 7.376
_cell_length_c 7.376
_cell_angle_alpha 90.00
_cell_angle_beta 90.00
_cell_angle_gamma 90.00
loop_
_atom_site_label
_atom_site_type_symbol
_atom_site_fract_x
_atom_site_fract_y
_atom_site_fract_z
Na1 Na 0.000 0.000 0.000
Ca1 Ca 0.250 0.250 0.250
Cu1 Cu 0.125 0.125 0.625

# CdSb3Os, optimized geometry, DFT PBE
# Calculated density, kg/m³: 7862
# Energy relative to the elements, uncorrected, eV/atom: 0.61
# Energy, eV per atom: -4.29
# Excess energy over the best structure of this formula in the dataset, eV per atom: 0.000
data_CdSb3Os
_space_group_name_H-M_alt 'P m -3 m'
_space_group_IT_number 221
_space_group_name_Hall '-P 4 2 3'
_cell_length_a 5.206
_cell_length_b 5.206
_cell_length_c 5.206
_cell_angle_alpha 90.00
_cell_angle_beta 90.00
_cell_angle_gamma 90.00
loop_
_atom_site_label
_atom_site_type_symbol
_atom_site_fract_x
_atom_site_fract_y
_atom_site_fract_z
Cd1 Cd 0.000 0.000 0.000
Sb1 Sb 0.000 0.500 0.500
Os1 Os 0.500 0.500 0.500

# Zr2Sc3Ru2, optimized geometry, DFT PBE
# Calculated density, kg/m³: 6005
# Energy of formation, eV/atom: -0.35
# Energy, eV per atom: -8.15
data_Zr2Sc3Ru2
_space_group_name_H-M_alt 'C 1 2/m 1'
_space_group_IT_number 12
_space_group_name_Hall '-C 2y'
_cell_length_a 11.397
_cell_length_b 3.324
_cell_length_c 8.512
_cell_angle_alpha 90.00
_cell_angle_beta 117.01
_cell_angle_gamma 90.00
loop_
_atom_site_label
_atom_site_type_symbol
_atom_site_fract_x
_atom_site_fract_y
_atom_site_fract_z
Zr1 Zr 0.160 0.000 0.322
Sc1 Sc 0.000 0.500 0.500
Sc2 Sc 0.114 0.500 0.941
Ru1 Ru 0.184 0.000 0.739